# 1
A plane-wave DFT calculation with PBE was carried out for a relaxed structure of TaAl3Ge.

Unit cell a=5.026 b=5.026 c=5.026 alpha=90.00 beta=90.00 gamma=90.00
Element x y z (fractional)
Ta 0.000 0.000 0.000
Al 0.000 0.000 0.500
Al 0.000 0.500 0.000
Al 0.500 0.000 0.000
Ge 0.500 0.500 0.500

Results
SG: Pm-3m (221)
Total magnetization in μB per formula unit: 0.0
ΔH_f (0 K) in eV per atom: 0.97
E in eV/atom: -4.565
Crystal system: cubic



# 2
A plane-wave DFT calculation with PBE was carried out for a relaxed structure of HRhS2.

Unit cell a=6.478 b=5.071 c=8.660 alpha=90.00 beta=119.43 gamma=90.00
Element x y z (fractional)
H 0.038 0.076 0.316
H 0.038 0.424 0.816
H 0.962 0.576 0.184
H 0.962 0.924 0.684
Rh 0.196 0.131 0.828
Rh 0.196 0.369 0.328
Rh 0.804 0.631 0.672
Rh 0.804 0.869 0.172
S 0.258 0.132 0.124
S 0.258 0.368 0.624
S 0.447 0.739 0.388
S 0.447 0.761 0.888
S 0.553 0.239 0.112
S 0.553 0.261 0.612
S 0.742 0.632 0.376
S 0.742 0.868 0.876

Results
SG: P2_1/c (14)
Total magnetization in μB per formula unit: 0.0
E in eV/atom: -4.718
Crystal system: monoclinic